A relaxed Ti3InCu crystal, computed with GGA-PBE.

```
Ti3InCu
1.0
4.0425 0.0000 -1.2973
-0.1878 5.8082 -0.5853
0.0674 0.9185 7.1572
Ti In Cu
6 2 2
direct
0.9948 0.7321 0.9897
0.0052 0.2679 0.0103
0.5998 0.5121 0.1995
0.4002 0.4879 0.8005
0.7996 0.2894 0.5991
0.2004 0.7106 0.4009
0.3822 0.9986 0.7644
0.6178 0.0014 0.2356
0.1976 0.2424 0.3952
0.8024 0.7576 0.6048
```

Properties
Excess energy over the best structure of this formula in the dataset ... 0 meV per atom
SG ... C2/m, No. 12
N(E_F) ... 0.84 states/eV/atom

A relaxed TiIn3Cu crystal, computed with GGA-PBE.

```
TiIn3Cu
1.0
5.3475 0.0000 0.0000
0.0000 5.3475 0.0000
0.0000 0.0000 5.3475
Ti Cu In
1 1 3
direct
0.0000 0.0000 0.0000
0.5000 0.5000 0.5000
0.0000 0.5000 0.0000
0.0000 0.0000 0.5000
0.5000 0.0000 0.0000
```

Properties
Excess energy over the best structure of this formula in the dataset ... 292 meV per atom
SG ... Pm-3m, No. 221
N(E_F) ... 1.08 states/eV/atom

Quick rundown of calculated formation energy, same order as above: -91; 843 meV/atom